Computed, not measured: an optimized crystal structure of FeBr2Cl at the PBE-GGA level of DFT.

Structure (extended XYZ):
```
4
Lattice="-1.445 2.405 1.391 0.957 -1.041 2.794 8.823 5.800 -0.860" Properties=species:S:1:pos:R:3 pbc="T T T"
Cl 5.345 3.514 -0.521
Fe 6.313 4.993 1.453
Br 1.965 2.134 1.877
Br 7.944 5.222 -0.774
```

Summary:
Excess energy over the best structure of this formula in the dataset, eV per formula unit: 1.86
Mass density, kg/m³: 4014
Formation energy without anion corrections, eV per atom: -0.0476
Space group: P4mm



Computed, not measured: an optimized crystal structure of Fe2BrCl at the PBE-GGA level of DFT.

Structure (extended XYZ):
```
4
Lattice="4.496 -0.003 0.000 0.003 4.496 0.000 0.000 0.000 3.220" Properties=species:S:1:pos:R:3 pbc="T T T"
Cl 0.002 2.248 1.610
Fe 0.000 0.000 0.000
Fe 2.250 2.247 0.000
Br 2.248 -0.002 1.610
```

Summary:
Excess energy over the best structure of this formula in the dataset, eV per formula unit: 2.56
Mass density, kg/m³: 5791
Formation energy without anion corrections, eV per atom: 0.5184
Space group: P4/mmm



Computed, not measured: an optimized crystal structure of Fe2BrCl at the PBE-GGA level of DFT.

Structure (extended XYZ):
```
8
Lattice="-0.107 4.421 1.472 1.353 -1.380 4.242 7.508 2.332 0.924" Properties=species:S:1:pos:R:3 pbc="T T T"
Cl 4.742 1.236 4.011
Cl 0.623 1.521 2.857
Br 4.012 4.137 2.626
Br 0.000 0.000 0.000
Fe 6.210 2.776 3.185
Fe 6.610 4.524 5.343
Fe 2.701 0.638 3.187
Fe 1.988 2.809 1.560
```

Summary:
Excess energy over the best structure of this formula in the dataset, eV per formula unit: 1.44
Mass density, kg/m³: 4822
Formation energy without anion corrections, eV per atom: 0.2380
Space group: I-42d



Computed, not measured: an optimized crystal structure of FeBr2Cl at the PBE-GGA level of DFT.

Structure (extended XYZ):
```
4
Lattice="-9.485 1.430 0.158 -8.545 2.949 3.211 -8.321 4.771 0.187" Properties=species:S:1:pos:R:3 pbc="T T T"
Fe -13.175 4.575 1.778
Cl 0.000 0.000 0.000
Br -23.200 8.056 3.131
Br -3.150 1.094 0.425
```

Summary:
Excess energy over the best structure of this formula in the dataset, eV per formula unit: 2.31
Mass density, kg/m³: 4104
Formation energy without anion corrections, eV per atom: 0.0646
Space group: R-3m